P:
This record from OQMD via LeMat-Bulk describes crystalline CuBAsIr at its relaxed geometry. The functional is PBE-GGA.

Space group: F-43m (216)
V (Å³ per atom): 12.84

a = 4.1718 Å, b = 4.1718 Å, c = 4.1718 Å
α = 60.00°, β = 60.00°, γ = 60.00°
Closest atoms and distances in Å follow each position.
Element x y z (fractional)
Cu1 0.0000 0.0000 0.0000  4 As 2.55, 4 Ir 2.55
B1 0.5000 0.5000 0.5000  4 As 2.55, 4 Ir 2.55
As1 0.2500 0.2500 0.2500  4 B 2.55, 4 Cu 2.55
Ir1 0.7500 0.7500 0.7500  4 B 2.55, 4 Cu 2.55

Q:
This record from OQMD via LeMat-Bulk describes crystalline CuBAsIr at its relaxed geometry. The functional is PBE-GGA.

Space group: F-43m (216)
V (Å³ per atom): 12.59

a = 4.1450 Å, b = 4.1450 Å, c = 4.1450 Å
α = 60.00°, β = 60.00°, γ = 60.00°
Closest atoms and distances in Å follow each position.
Element x y z (fractional)
Cu1 0.0000 0.0000 0.0000  4 As 2.54, 4 B 2.54
B1 0.2500 0.2500 0.2500  4 Ir 2.54, 4 Cu 2.54
As1 0.7500 0.7500 0.7500  4 Ir 2.54, 4 Cu 2.54
Ir1 0.5000 0.5000 0.5000  4 As 2.54, 4 B 2.54

The structure with the least stability is P.

P:
This record from OQMD via LeMat-Bulk describes crystalline DyBAs at its relaxed geometry. The functional is PBE-GGA.

Space group: F-43m (216)
V (Å³ per atom): 18.54

a = 4.2846 Å, b = 4.2846 Å, c = 4.2846 Å
α = 60.00°, β = 60.00°, γ = 60.00°
Closest atoms and distances in Å follow each position.
Element x y z (fractional)
Dy1 0.0000 0.0000 0.0000  4 B 2.62
B1 0.7500 0.7500 0.7500  4 As 2.62, 4 Dy 2.62
As1 0.5000 0.5000 0.5000  4 B 2.62

Q:
This record from OQMD via LeMat-Bulk describes crystalline DyBAs at its relaxed geometry. The functional is PBE-GGA.

Space group: F-43m (216)
V (Å³ per atom): 21.72

a = 4.5171 Å, b = 4.5171 Å, c = 4.5171 Å
α = 60.00°, β = 60.00°, γ = 60.00°
Closest atoms and distances in Å follow each position.
Element x y z (fractional)
Dy1 0.0000 0.0000 0.0000  4 As 2.77, 4 B 2.77
B1 0.2500 0.2500 0.2500  4 Dy 2.77
As1 0.7500 0.7500 0.7500  4 Dy 2.77

The structure with the least stability is Q.

P:
This record from OQMD via LeMat-Bulk describes crystalline DyBAsO at its relaxed geometry. The functional is PBE-GGA.

Space group: P4/nmm (129)
V (Å³ per atom): 14.45

a = 4.0008 Å, b = 4.0008 Å, c = 7.2238 Å
α = 90.00°, β = 90.00°, γ = 90.00°
Closest atoms and distances in Å follow each position.
Element x y z (fractional)
Dy1 0.2500 0.2500 0.1469  4 O 2.26
Dy2 0.7500 0.7500 0.8531  4 O 2.26
B1 0.2500 0.7500 0.5000  4 As 2.20
B2 0.7500 0.2500 0.5000  4 As 2.20
As1 0.2500 0.2500 0.6253  4 B 2.20
As2 0.7500 0.7500 0.3747  4 B 2.20
O1 0.2500 0.7500 0.0000  4 Dy 2.26
O2 0.7500 0.2500 0.0000  4 Dy 2.26

Q:
This record from OQMD via LeMat-Bulk describes crystalline DyBAsO at its relaxed geometry. The functional is PBE-GGA.

Space group: Pmc2_1 (26)
V (Å³ per atom): 15.88

a = 3.9262 Å, b = 5.3405 Å, c = 6.0575 Å
α = 90.00°, β = 90.00°, γ = 90.00°
Closest atoms and distances in Å follow each position.
Element x y z (fractional)
Dy1 0.0000 0.2203 0.0000  2 O 2.11-2.17
Dy2 0.0000 0.7797 0.5000  2 O 2.11-2.17
B1 0.5000 0.2957 0.3327  2 As 2.05-2.09, 2 O 2.12
B2 0.5000 0.7043 0.8327  2 As 2.05-2.09, 2 O 2.12
As1 0.5000 0.3620 0.6667  2 B 2.05-2.09
As2 0.5000 0.6380 0.1667  2 B 2.05-2.09
O1 0.0000 0.1446 0.3414  2 Dy 2.11-2.17, 2 B 2.12
O2 0.0000 0.8554 0.8414  2 Dy 2.11-2.17, 2 B 2.12

The structure with the least stability is Q.

P:
This record from OQMD via LeMat-Bulk describes crystalline ErBAsO at its relaxed geometry. The functional is PBE-GGA.

Space group: Pmc2_1 (26)
V (Å³ per atom): 17.00

a = 3.5157 Å, b = 6.6271 Å, c = 5.8387 Å
α = 90.00°, β = 90.00°, γ = 90.00°
Closest atoms and distances in Å follow each position.
Element x y z (fractional)
Er1 0.0000 0.2115 0.0000  2 O 2.19
Er2 0.0000 0.7885 0.5000  2 O 2.19
B1 0.5000 0.3866 0.5073  1 O 1.36
B2 0.5000 0.6134 0.0073  1 O 1.36
As1 0.0000 0.2163 0.5008  2 B 2.09
As2 0.0000 0.7837 0.0008  2 B 2.09
O1 0.5000 0.4076 0.0077  1 B 1.36
O2 0.5000 0.5924 0.5077  1 B 1.36

Q:
This record from OQMD via LeMat-Bulk describes crystalline ErBAsO at its relaxed geometry. The functional is PBE-GGA.

Space group: P4/nmm (129)
V (Å³ per atom): 16.36

a = 5.5310 Å, b = 5.5310 Å, c = 4.2789 Å
α = 90.00°, β = 90.00°, γ = 90.00°
Closest atoms and distances in Å follow each position.
Element x y z (fractional)
Er1 0.2500 0.7500 0.0000  2 O 2.14
Er2 0.7500 0.2500 0.0000  2 O 2.14
B1 0.2500 0.2500 0.0726  1 As 1.90
B2 0.7500 0.7500 0.9274  1 As 1.90
As1 0.2500 0.2500 0.6291  1 B 1.90
As2 0.7500 0.7500 0.3709  1 B 1.90
O1 0.2500 0.7500 0.5000  2 Er 2.14
O2 0.7500 0.2500 0.5000  2 Er 2.14

R:
This record from OQMD via LeMat-Bulk describes crystalline ErBAsO at its relaxed geometry. The functional is PBE-GGA.

Space group: P4/nmm (129)
V (Å³ per atom): 14.21

a = 3.9817 Å, b = 3.9817 Å, c = 7.1713 Å
α = 90.00°, β = 90.00°, γ = 90.00°
Closest atoms and distances in Å follow each position.
Element x y z (fractional)
Er1 0.2500 0.2500 0.1443  4 O 2.24
Er2 0.7500 0.7500 0.8557  4 O 2.24
B1 0.2500 0.7500 0.5000  4 As 2.19
B2 0.7500 0.2500 0.5000  4 As 2.19
As1 0.2500 0.2500 0.6268  4 B 2.19
As2 0.7500 0.7500 0.3732  4 B 2.19
O1 0.2500 0.7500 0.0000  4 Er 2.24
O2 0.7500 0.2500 0.0000  4 Er 2.24

The structure with the least stability is Q.

P:
This record from OQMD via LeMat-Bulk describes crystalline FeB4As at its relaxed geometry. The functional is PBE-GGA.

Space group: P6/mmm (191)
V (Å³ per atom): 9.20

a = 3.0160 Å, b = 3.0160 Å, c = 7.0073 Å
α = 90.00°, β = 90.00°, γ = 120.00°
Closest atoms and distances in Å follow each position.
Element x y z (fractional)
Fe1 0.0000 0.0000 0.0000  12 B 2.31
B1 0.3333 0.6667 0.2176  3 B 1.74
B2 0.3333 0.6667 0.7824  3 B 1.74
B3 0.6667 0.3333 0.2176  3 B 1.74
B4 0.6667 0.3333 0.7824  3 B 1.74
As1 0.0000 0.0000 0.5000  12 B 2.64

Q:
This record from OQMD via LeMat-Bulk describes crystalline FeB4As at its relaxed geometry. The functional is PBE-GGA.

Space group: Immm (71)
V (Å³ per atom): 9.05

a = 4.5720 Å, b = 4.5720 Å, c = 4.5720 Å
α = 141.64°, β = 108.99°, γ = 83.71°
Closest atoms and distances in Å follow each position.
Element x y z (fractional)
Fe1 0.0000 0.0000 0.0000  12 B 2.41-2.49
B1 0.0795 0.7447 0.3349  3 B 1.75
B2 0.4098 0.7447 0.6651  3 B 1.75
B3 0.5902 0.2553 0.3349  3 B 1.75
B4 0.9205 0.2553 0.6651  3 B 1.75
As1 0.5000 0.5000 0.0000  12 B 2.44-2.46

The structure with the least stability is Q.

P:
This record from OQMD via LeMat-Bulk describes crystalline MgFeBAs at its relaxed geometry. The functional is PBE-GGA.

Space group: F-43m (216)
V (Å³ per atom): 13.50

a = 4.2431 Å, b = 4.2431 Å, c = 4.2431 Å
α = 60.00°, β = 60.00°, γ = 60.00°
Closest atoms and distances in Å follow each position.
Element x y z (fractional)
Mg1 0.0000 0.0000 0.0000  4 Fe 2.60, 4 B 2.60
Fe1 0.2500 0.2500 0.2500  4 As 2.60, 4 Mg 2.60
B1 0.7500 0.7500 0.7500  4 As 2.60, 4 Mg 2.60
As1 0.5000 0.5000 0.5000  4 Fe 2.60, 4 B 2.60

Q:
This record from OQMD via LeMat-Bulk describes crystalline MgFeBAs at its relaxed geometry. The functional is PBE-GGA.

Space group: F-43m (216)
V (Å³ per atom): 12.30

a = 4.1129 Å, b = 4.1129 Å, c = 4.1129 Å
α = 60.00°, β = 60.00°, γ = 60.00°
Closest atoms and distances in Å follow each position.
Element x y z (fractional)
Mg1 0.0000 0.0000 0.0000  4 As 2.52, 4 B 2.52
Fe1 0.5000 0.5000 0.5000  4 As 2.52, 4 B 2.52
B1 0.7500 0.7500 0.7500  4 Fe 2.52, 4 Mg 2.52
As1 0.2500 0.2500 0.2500  4 Fe 2.52, 4 Mg 2.52

The structure with the least stability is P.

P:
This record from OQMD via LeMat-Bulk describes crystalline HgBAs at its relaxed geometry. The functional is PBE-GGA.

Space group: F-43m (216)
V (Å³ per atom): 17.62

a = 4.2123 Å, b = 4.2123 Å, c = 4.2123 Å
α = 60.00°, β = 60.00°, γ = 60.00°
Closest atoms and distances in Å follow each position.
Element x y z (fractional)
Hg1 0.0000 0.0000 0.0000  4 B 2.58
B1 0.7500 0.7500 0.7500  4 Hg 2.58, 4 As 2.58
As1 0.5000 0.5000 0.5000  4 B 2.58

Q:
This record from OQMD via LeMat-Bulk describes crystalline HgBAs at its relaxed geometry. The functional is PBE-GGA.

Space group: F-43m (216)
V (Å³ per atom): 19.93

a = 4.3888 Å, b = 4.3888 Å, c = 4.3888 Å
α = 60.00°, β = 60.00°, γ = 60.00°
Closest atoms and distances in Å follow each position.
Element x y z (fractional)
Hg1 0.0000 0.0000 0.0000  4 As 2.69, 4 B 2.69
B1 0.2500 0.2500 0.2500  4 Hg 2.69
As1 0.7500 0.7500 0.7500  4 Hg 2.69

The structure with the least stability is Q.

P:
This record from OQMD via LeMat-Bulk describes crystalline HgBAsO at its relaxed geometry. The functional is PBE-GGA.

Space group: Pmc2_1 (26)
V (Å³ per atom): 14.98

a = 2.5729 Å, b = 7.2387 Å, c = 6.4358 Å
α = 90.00°, β = 90.00°, γ = 90.00°
Closest atoms and distances in Å follow each position.
Element x y z (fractional)
Hg1 0.0000 0.1183 0.0000  2 Hg 2.57, 2 O 2.68-2.76
Hg2 0.0000 0.8817 0.5000  2 Hg 2.57, 2 O 2.68-2.76
B1 0.5000 0.3327 0.4365  2 O 1.46
B2 0.5000 0.6673 0.9365  2 O 1.46
As1 0.5000 0.4180 0.7585  2 B 2.14-2.16
As2 0.5000 0.5820 0.2585  2 B 2.14-2.16
O1 0.0000 0.2418 0.4061  2 B 1.46
O2 0.0000 0.7582 0.9061  2 B 1.46

Q:
This record from OQMD via LeMat-Bulk describes crystalline HgBAsO at its relaxed geometry. The functional is PBE-GGA.

Space group: P4/nmm (129)
V (Å³ per atom): 16.52

a = 3.5346 Å, b = 3.5346 Å, c = 10.5814 Å
α = 90.00°, β = 90.00°, γ = 90.00°
Closest atoms and distances in Å follow each position.
Element x y z (fractional)
Hg1 0.2500 0.7500 0.0000  4 Hg 2.50
Hg2 0.7500 0.2500 0.0000  4 Hg 2.50
B1 0.2500 0.2500 0.4478  4 O 1.85, 1 As 2.03
B2 0.7500 0.7500 0.5522  4 O 1.85, 1 As 2.03
As1 0.2500 0.2500 0.2562  1 B 2.03
As2 0.7500 0.7500 0.7438  1 B 2.03
O1 0.2500 0.7500 0.5000  4 B 1.85
O2 0.7500 0.2500 0.5000  4 B 1.85

R:
This record from OQMD via LeMat-Bulk describes crystalline HgBAsO at its relaxed geometry. The functional is PBE-GGA.

Space group: P4/nmm (129)
V (Å³ per atom): 16.67

a = 4.0040 Å, b = 4.0040 Å, c = 8.3158 Å
α = 90.00°, β = 90.00°, γ = 90.00°
Closest atoms and distances in Å follow each position.
Element x y z (fractional)
Hg1 0.2500 0.2500 0.1237  4 O 2.25
Hg2 0.7500 0.7500 0.8763  4 O 2.25
B1 0.2500 0.7500 0.5000  4 As 2.23
B2 0.7500 0.2500 0.5000  4 As 2.23
As1 0.2500 0.2500 0.6187  4 B 2.23
As2 0.7500 0.7500 0.3813  4 B 2.23
O1 0.2500 0.7500 0.0000  4 Hg 2.25
O2 0.7500 0.2500 0.0000  4 Hg 2.25

The structure with the least stability is R.

P:
This record from OQMD via LeMat-Bulk describes crystalline HoB4As at its relaxed geometry. The functional is PBE-GGA.

Space group: Immm (71)
V (Å³ per atom): 11.18

a = 5.1817 Å, b = 5.1817 Å, c = 5.1817 Å
α = 144.43°, β = 122.62°, γ = 69.36°
Closest atoms and distances in Å follow each position.
Element x y z (fractional)
Ho1 0.0000 0.0000 0.0000  12 B 2.67-2.79, 4 As 2.95
B1 0.0434 0.7286 0.3148  3 B 1.75-1.84
B2 0.4138 0.7286 0.6852  3 B 1.75-1.84
B3 0.5862 0.2714 0.3148  3 B 1.75-1.84
B4 0.9566 0.2714 0.6852  3 B 1.75-1.84
As1 0.5000 0.5000 0.0000  4 B 2.50

Q:
This record from OQMD via LeMat-Bulk describes crystalline HoB4As at its relaxed geometry. The functional is PBE-GGA.

Space group: P6/mmm (191)
V (Å³ per atom): 11.02

a = 3.1715 Å, b = 3.1715 Å, c = 7.5903 Å
α = 90.00°, β = 90.00°, γ = 120.00°
Closest atoms and distances in Å follow each position.
Element x y z (fractional)
Ho1 0.0000 0.0000 0.0000  12 B 2.66
B1 0.3333 0.6667 0.2542  3 B 1.83
B2 0.3333 0.6667 0.7458  3 B 1.83
B3 0.6667 0.3333 0.2542  3 B 1.83
B4 0.6667 0.3333 0.7458  3 B 1.83
As1 0.0000 0.0000 0.5000  12 B 2.61

The structure with the least stability is Q.

P:
This record from OQMD via LeMat-Bulk describes crystalline B4AsIr at its relaxed geometry. The functional is PBE-GGA.

Space group: P6/mmm (191)
V (Å³ per atom): 9.58

a = 3.1085 Å, b = 3.1085 Å, c = 6.8660 Å
α = 90.00°, β = 90.00°, γ = 120.00°
Closest atoms and distances in Å follow each position.
Element x y z (fractional)
B1 0.3333 0.6667 0.2373  3 B 1.79
B2 0.3333 0.6667 0.7627  3 B 1.79
B3 0.6667 0.3333 0.2373  3 B 1.79
B4 0.6667 0.3333 0.7627  3 B 1.79
As1 0.0000 0.0000 0.5000  12 B 2.54
Ir1 0.0000 0.0000 0.0000  12 B 2.42

Q:
This record from OQMD via LeMat-Bulk describes crystalline B4AsIr at its relaxed geometry. The functional is PBE-GGA.

Space group: Immm (71)
V (Å³ per atom): 9.60

a = 4.6767 Å, b = 4.6767 Å, c = 4.6767 Å
α = 141.97°, β = 109.52°, γ = 83.00°
Closest atoms and distances in Å follow each position.
Element x y z (fractional)
B1 0.0838 0.2496 0.8342  3 B 1.77-1.79
B2 0.4154 0.2496 0.1658  3 B 1.77-1.79
B3 0.5846 0.7504 0.8342  3 B 1.77-1.79
B4 0.9162 0.7504 0.1658  3 B 1.77-1.79
As1 0.5000 0.0000 0.5000  12 B 2.49-2.51
Ir1 0.0000 0.5000 0.5000  12 B 2.49-2.52

The structure with the least stability is Q.

P:
This record from OQMD via LeMat-Bulk describes crystalline BAsIrO at its relaxed geometry. The functional is PBE-GGA.

Space group: P4/nmm (129)
V (Å³ per atom): 14.01

a = 3.7087 Å, b = 3.7087 Å, c = 8.1503 Å
α = 90.00°, β = 90.00°, γ = 90.00°
Closest atoms and distances in Å follow each position.
Element x y z (fractional)
B1 0.2500 0.2500 0.0516  4 O 1.90, 1 As 2.09
B2 0.7500 0.7500 0.9484  4 O 1.90, 1 As 2.09
As1 0.2500 0.2500 0.3078  1 B 2.09
As2 0.7500 0.7500 0.6922  1 B 2.09
Ir1 0.2500 0.7500 0.5000  4 As 2.43, 4 Ir 2.62
Ir2 0.7500 0.2500 0.5000  4 As 2.43, 4 Ir 2.62
O1 0.2500 0.7500 0.0000  4 B 1.90
O2 0.7500 0.2500 0.0000  4 B 1.90

Q:
This record from OQMD via LeMat-Bulk describes crystalline BAsIrO at its relaxed geometry. The functional is PBE-GGA.

Space group: Pmc2_1 (26)
V (Å³ per atom): 13.45

a = 2.9003 Å, b = 8.2784 Å, c = 4.4818 Å
α = 90.00°, β = 90.00°, γ = 90.00°
Closest atoms and distances in Å follow each position.
Element x y z (fractional)
B1 0.0000 0.0796 0.0000  2 O 1.36-1.37
B2 0.0000 0.9204 0.5000  2 O 1.36-1.37
As1 0.5000 0.2808 0.9288  2 B 2.23, 2 Ir 2.48-2.49
As2 0.5000 0.7192 0.4288  2 B 2.23, 2 Ir 2.48-2.49
Ir1 0.5000 0.4187 0.4385  3 As 2.48-2.55, 2 Ir 2.61
Ir2 0.5000 0.5813 0.9385  3 As 2.48-2.55, 2 Ir 2.61
O1 0.0000 0.0439 0.2991  2 B 1.36-1.37
O2 0.0000 0.9561 0.7991  2 B 1.36-1.37

R:
This record from OQMD via LeMat-Bulk describes crystalline BAsIrO at its relaxed geometry. The functional is PBE-GGA.

Space group: P4/nmm (129)
V (Å³ per atom): 12.27

a = 3.2188 Å, b = 3.2188 Å, c = 9.4725 Å
α = 90.00°, β = 90.00°, γ = 90.00°
Closest atoms and distances in Å follow each position.
Element x y z (fractional)
B1 0.2500 0.7500 0.0000  4 B 2.28, 4 As 2.30
B2 0.7500 0.2500 0.0000  4 B 2.28, 4 As 2.30
As1 0.2500 0.2500 0.1730  4 B 2.30
As2 0.7500 0.7500 0.8270  4 B 2.30
Ir1 0.2500 0.2500 0.6429  4 O 2.10
Ir2 0.7500 0.7500 0.3571  4 O 2.10
O1 0.2500 0.7500 0.5000  4 Ir 2.10, 4 O 2.28
O2 0.7500 0.2500 0.5000  4 Ir 2.10, 4 O 2.28

S:
This record from OQMD via LeMat-Bulk describes crystalline BAsIrO at its relaxed geometry. The functional is PBE-GGA.

Space group: Pmc2_1 (26)
V (Å³ per atom): 12.42

a = 2.6782 Å, b = 6.6262 Å, c = 5.5988 Å
α = 90.00°, β = 90.00°, γ = 90.00°
Closest atoms and distances in Å follow each position.
Element x y z (fractional)
B1 0.0000 0.1173 0.0000  2 O 1.53
B2 0.0000 0.8827 0.5000  2 O 1.53
As1 0.0000 0.1864 0.3655  2 B 2.10-2.15
As2 0.0000 0.8136 0.8655  2 B 2.10-2.15
Ir1 0.5000 0.4846 0.4001  1 O 2.15, 2 As 2.39
Ir2 0.5000 0.5154 0.9001  1 O 2.15, 2 As 2.39
O1 0.5000 0.1909 0.8990  2 B 1.53
O2 0.5000 0.8091 0.3990  2 B 1.53

The structure with the least stability is R.